(1)
VASP calculation (PBE) on a relaxed TbDy4Sc crystal.

Computed properties:
The calculation puts the polymorph energy (0 for the lowest one) at 550 meV/atom.

a b c (Å): 4.997 4.997 8.783
angles (deg): 90.00 90.00 90.00
Fractional coordinates of all 6 atoms:
Tb  0.000  0.000  0.000
Dy  0.000  0.500  0.287
Dy  0.000  0.500  0.713
Dy  0.500  0.000  0.287
Dy  0.500  0.000  0.713
Sc  0.500  0.500  0.500

(2)
VASP calculation (PBE) on a relaxed TbDy4Sc3 crystal.

Computed properties:
The calculation puts the polymorph energy (0 for the lowest one) at 110 meV/atom.

a b c (Å): 8.535 8.535 3.369
angles (deg): 101.32 101.32 81.23
Fractional coordinates of all 8 atoms:
Tb  0.000  0.000  0.000
Dy  0.124  0.607  0.365
Dy  0.393  0.876  0.635
Dy  0.607  0.124  0.365
Dy  0.876  0.393  0.635
Sc  0.262  0.262  0.763
Sc  0.500  0.500  0.500
Sc  0.738  0.738  0.237

(3)
VASP calculation (PBE) on a relaxed Tb3Dy2Sc crystal.

Computed properties:
The calculation puts the polymorph energy (0 for the lowest one) at 113 meV/atom.

a b c (Å): 8.912 8.912 14.000
angles (deg): 116.68 116.68 22.20
Fractional coordinates of all 12 atoms:
Tb  0.037  0.037  0.219
Tb  0.257  0.257  0.706
Tb  0.401  0.401  0.973
Tb  0.599  0.599  0.027
Tb  0.743  0.743  0.294
Tb  0.963  0.963  0.781
Dy  0.180  0.180  0.880
Dy  0.344  0.344  0.530
Dy  0.656  0.656  0.470
Dy  0.820  0.820  0.120
Sc  0.437  0.437  0.359
Sc  0.563  0.563  0.641

(4)
VASP calculation (PBE) on a relaxed Tb5Dy2Sc3 crystal.

a b c (Å): 9.373 9.373 9.134
angles (deg): 108.73 108.73 111.73
Fractional coordinates of all 20 atoms:
Tb  0.017  0.983  0.750
Tb  0.115  0.400  0.769
Tb  0.283  0.717  0.250
Tb  0.400  0.115  0.269
Tb  0.481  0.519  0.250
Tb  0.519  0.481  0.750
Tb  0.600  0.885  0.731
Tb  0.717  0.283  0.750
Tb  0.885  0.600  0.231
Tb  0.983  0.017  0.250
Dy  0.209  0.478  0.452
Dy  0.478  0.209  0.952
Dy  0.522  0.791  0.048
Dy  0.791  0.522  0.548
Sc  0.005  0.275  0.047
Sc  0.217  0.783  0.750
Sc  0.275  0.005  0.547
Sc  0.725  0.995  0.453
Sc  0.783  0.217  0.250
Sc  0.995  0.725  0.953

(5)
VASP calculation (PBE) on a relaxed Tb8Dy2Sc3 crystal.

Computed properties:
The calculation puts the polymorph energy (0 for the lowest one) at 0 meV/atom.

a b c (Å): 8.637 8.637 5.925
angles (deg): 107.95 107.95 80.85
Fractional coordinates of all 13 atoms:
Tb  0.087  0.087  0.268
Tb  0.112  0.578  0.853
Tb  0.364  0.364  0.384
Tb  0.422  0.888  0.147
Tb  0.578  0.112  0.853
Tb  0.636  0.636  0.616
Tb  0.888  0.422  0.147
Tb  0.913  0.913  0.732
Dy  0.181  0.181  0.836
Dy  0.819  0.819  0.164
Sc  0.233  0.767  0.500
Sc  0.500  0.500  0.000
Sc  0.767  0.233  0.500

(6)
VASP calculation (PBE) on a relaxed Tb5Dy4Sc4 crystal.

a b c (Å): 9.157 9.157 9.157
angles (deg): 94.10 94.10 148.97
Fractional coordinates of all 13 atoms:
Tb  0.000  0.000  0.000
Tb  0.308  0.458  0.766
Tb  0.458  0.692  0.150
Tb  0.542  0.308  0.850
Tb  0.692  0.542  0.234
Dy  0.078  0.618  0.696
Dy  0.382  0.078  0.460
Dy  0.618  0.922  0.540
Dy  0.922  0.382  0.304
Sc  0.155  0.232  0.388
Sc  0.232  0.845  0.077
Sc  0.768  0.155  0.923
Sc  0.845  0.768  0.612

(7)
VASP calculation (PBE) on a relaxed Tb6Dy3Sc crystal.

Computed properties:
The calculation puts the polymorph energy (0 for the lowest one) at 98 meV/atom.

a b c (Å): 6.835 6.835 6.835
angles (deg): 90.83 90.83 90.83
Fractional coordinates of all 10 atoms:
Tb  0.000  0.676  0.325
Tb  0.163  0.506  0.831
Tb  0.325  0.000  0.676
Tb  0.506  0.831  0.163
Tb  0.676  0.325  0.000
Tb  0.831  0.163  0.506
Dy  0.157  0.157  0.157
Dy  0.406  0.406  0.406
Dy  0.664  0.664  0.664
Sc  0.908  0.908  0.908

(8)
VASP calculation (PBE) on a relaxed Tb2Dy6Sc crystal.

Computed properties:
The calculation puts the polymorph energy (0 for the lowest one) at 72 meV/atom.

a b c (Å): 9.855 9.855 6.061
angles (deg): 94.98 94.98 71.09
Fractional coordinates of all 18 atoms:
Tb  0.071  0.269  0.070
Tb  0.269  0.071  0.570
Tb  0.731  0.929  0.430
Tb  0.929  0.731  0.930
Dy  0.095  0.810  0.489
Dy  0.152  0.435  0.646
Dy  0.190  0.905  0.011
Dy  0.252  0.525  0.175
Dy  0.435  0.152  0.146
Dy  0.475  0.748  0.325
Dy  0.525  0.252  0.675
Dy  0.565  0.848  0.854
Dy  0.748  0.475  0.825
Dy  0.810  0.095  0.989
Dy  0.848  0.565  0.354
Dy  0.905  0.190  0.511
Sc  0.398  0.602  0.750
Sc  0.602  0.398  0.250

(9)
VASP calculation (PBE) on a relaxed Tb12Dy3Sc crystal.

a b c (Å): 5.010 5.010 19.987
angles (deg): 90.00 90.00 90.00
Fractional coordinates of all 16 atoms:
Tb  0.000  0.000  0.000
Tb  0.000  0.000  0.247
Tb  0.000  0.000  0.500
Tb  0.000  0.000  0.753
Tb  0.000  0.500  0.121
Tb  0.000  0.500  0.374
Tb  0.000  0.500  0.626
Tb  0.000  0.500  0.879
Tb  0.500  0.000  0.121
Tb  0.500  0.000  0.374
Tb  0.500  0.000  0.626
Tb  0.500  0.000  0.879
Dy  0.500  0.500  0.248
Dy  0.500  0.500  0.500
Dy  0.500  0.500  0.752
Sc  0.500  0.500  0.000

(10)
VASP calculation (PBE) on a relaxed Tb2Dy5Sc2 crystal.

Computed properties:
The calculation puts the polymorph energy (0 for the lowest one) at 244 meV/atom.

a b c (Å): 9.923 9.923 9.923
angles (deg): 84.13 108.12 142.30
Fractional coordinates of all 18 atoms:
Tb  0.000  0.000  0.000
Tb  0.000  0.500  0.500
Tb  0.100  0.857  0.744
Tb  0.113  0.357  0.256
Dy  0.055  0.478  0.873
Dy  0.055  0.683  0.077
Dy  0.148  0.300  0.734
Dy  0.148  0.914  0.348
Dy  0.498  0.438  0.560
Dy  0.566  0.414  0.266
Dy  0.566  0.800  0.652
Dy  0.606  0.183  0.127
Dy  0.606  0.978  0.923
Dy  0.879  0.938  0.440
Sc  0.515  0.658  0.095
Sc  0.515  0.920  0.357
Sc  0.563  0.158  0.643
Sc  0.563  0.420  0.905

(11)
VASP calculation (PBE) on a relaxed TbDy12Sc7 crystal.

Computed properties:
The calculation puts the polymorph energy (0 for the lowest one) at 0 meV/atom.

a b c (Å): 9.032 9.032 9.032
angles (deg): 108.31 108.31 108.31
Fractional coordinates of all 20 atoms:
Tb  0.000  0.000  0.000
Dy  0.066  0.407  0.298
Dy  0.200  0.381  0.675
Dy  0.298  0.066  0.407
Dy  0.325  0.800  0.619
Dy  0.381  0.675  0.200
Dy  0.407  0.298  0.066
Dy  0.593  0.702  0.934
Dy  0.619  0.325  0.800
Dy  0.675  0.200  0.381
Dy  0.702  0.934  0.593
Dy  0.800  0.619  0.325
Dy  0.934  0.593  0.702
Sc  0.004  0.685  0.104
Sc  0.104  0.004  0.685
Sc  0.315  0.896  0.996
Sc  0.500  0.500  0.500
Sc  0.685  0.104  0.004
Sc  0.896  0.996  0.315
Sc  0.996  0.315  0.896

(12)
VASP calculation (PBE) on a relaxed TbDy2Sc9 crystal.

a b c (Å): 10.103 10.103 10.103
angles (deg): 36.86 36.86 36.86
Fractional coordinates of all 12 atoms:
Tb  0.000  0.000  0.000
Dy  0.136  0.136  0.136
Dy  0.864  0.864  0.864
Sc  0.075  0.594  0.594
Sc  0.335  0.335  0.335
Sc  0.406  0.406  0.925
Sc  0.406  0.925  0.406
Sc  0.500  0.500  0.500
Sc  0.594  0.075  0.594
Sc  0.594  0.594  0.075
Sc  0.665  0.665  0.665
Sc  0.925  0.406  0.406

(13)
VASP calculation (PBE) on a relaxed Tb2Dy3Sc2 crystal.

Computed properties:
The calculation puts the polymorph energy (0 for the lowest one) at 90 meV/atom.

a b c (Å): 8.604 8.604 8.362
angles (deg): 118.45 118.45 22.84
Fractional coordinates of all 7 atoms:
Tb  0.141  0.141  0.313
Tb  0.859  0.859  0.687
Dy  0.000  0.000  0.500
Dy  0.212  0.212  0.805
Dy  0.788  0.788  0.195
Sc  0.436  0.436  0.091
Sc  0.564  0.564  0.909

(14)
VASP calculation (PBE) on a relaxed Tb5Dy3Sc3 crystal.

a b c (Å): 10.815 10.815 3.385
angles (deg): 90.00 90.00 120.00
Fractional coordinates of all 11 atoms:
Tb  0.000  0.835  0.000
Tb  0.165  0.165  0.000
Tb  0.333  0.667  0.000
Tb  0.667  0.333  0.000
Tb  0.835  0.000  0.000
Dy  0.000  0.347  0.000
Dy  0.347  0.000  0.000
Dy  0.653  0.653  0.000
Sc  0.000  0.592  0.500
Sc  0.408  0.408  0.500
Sc  0.592  0.000  0.500

(15)
VASP calculation (PBE) on a relaxed Tb4DySc3 crystal.

Computed properties:
The calculation puts the polymorph energy (0 for the lowest one) at 91 meV/atom.

a b c (Å): 8.246 8.246 5.834
angles (deg): 110.03 110.03 39.35
Fractional coordinates of all 8 atoms:
Tb  0.129  0.129  0.074
Tb  0.252  0.252  0.690
Tb  0.748  0.748  0.310
Tb  0.871  0.871  0.926
Dy  0.000  0.000  0.500
Sc  0.372  0.372  0.319
Sc  0.500  0.500  0.000
Sc  0.628  0.628  0.681

(16)
VASP calculation (PBE) on a relaxed Tb2DySc crystal.

Computed properties:
The calculation puts the polymorph energy (0 for the lowest one) at 97 meV/atom.

a b c (Å): 5.543 5.543 5.543
angles (deg): 60.00 60.00 60.00
Fractional coordinates of all 4 atoms:
Tb  0.250  0.250  0.250
Tb  0.750  0.750  0.750
Dy  0.000  0.000  0.000
Sc  0.500  0.500  0.500

(17)
VASP calculation (PBE) on a relaxed Tb2Dy5Sc2 crystal.

Computed properties:
The calculation puts the polymorph energy (0 for the lowest one) at 0 meV/atom.

a b c (Å): 9.282 9.282 9.340
angles (deg): 115.30 115.30 21.89
Fractional coordinates of all 9 atoms:
Tb  0.143  0.143  0.158
Tb  0.857  0.857  0.842
Dy  0.000  0.000  0.500
Dy  0.183  0.183  0.833
Dy  0.335  0.335  0.503
Dy  0.665  0.665  0.497
Dy  0.817  0.817  0.167
Sc  0.482  0.482  0.165
Sc  0.518  0.518  0.835

(18)
VASP calculation (PBE) on a relaxed Tb2DySc crystal.

Computed properties:
The calculation puts the polymorph energy (0 for the lowest one) at 4 meV/atom.

a b c (Å): 11.367 11.367 11.367
angles (deg): 17.80 17.80 17.80
Fractional coordinates of all 4 atoms:
Tb  0.000  0.000  0.000
Tb  0.172  0.172  0.172
Dy  0.419  0.419  0.419
Sc  0.586  0.586  0.586

(19)
VASP calculation (PBE) on a relaxed TbDySc4 crystal.

Computed properties:
The calculation puts the polymorph energy (0 for the lowest one) at 0 meV/atom.

a b c (Å): 8.902 8.902 10.856
angles (deg): 90.00 90.00 158.11
Fractional coordinates of all 12 atoms:
Tb  0.163  0.837  0.500
Tb  0.837  0.163  0.000
Dy  0.280  0.720  0.257
Dy  0.720  0.280  0.757
Sc  0.052  0.948  0.757
Sc  0.163  0.837  0.010
Sc  0.393  0.607  0.751
Sc  0.497  0.503  0.506
Sc  0.503  0.497  0.006
Sc  0.607  0.393  0.251
Sc  0.837  0.163  0.510
Sc  0.948  0.052  0.257

(20)
VASP calculation (PBE) on a relaxed Tb5DySc2 crystal.

Computed properties:
The calculation puts the polymorph energy (0 for the lowest one) at 0 meV/atom.

a b c (Å): 8.278 7.102 6.589
angles (deg): 74.30 55.68 50.02
Fractional coordinates of all 8 atoms:
Tb  0.000  0.000  0.000
Tb  0.416  0.416  0.084
Tb  0.496  0.996  0.504
Tb  0.916  0.916  0.584
Tb  0.996  0.496  0.004
Dy  0.500  0.500  0.500
Sc  0.414  0.913  0.087
Sc  0.913  0.414  0.586

Number 1: energy of formation 66.5 kJ per mole of atoms, M_tot 0.0000 μB per atom. Number 2: energy of formation 13.4 kJ per mole of atoms, M_tot 0.0000 μB per atom. Number 3: energy of formation 14.0 kJ per mole of atoms, M_tot 0.0006 μB per atom. Number 4: energy of formation 18.8 kJ per mole of atoms, M_tot 0.0000 μB per atom. Number 5: energy of formation 18.2 kJ per mole of atoms, M_tot 0.0001 μB per atom. Number 6: energy of formation 4.1 kJ per mole of atoms, M_tot 0.0001 μB per atom. Number 7: energy of formation 23.2 kJ per mole of atoms, M_tot 0.0045 μB per atom. Number 8: energy of formation 9.8 kJ per mole of atoms, M_tot 0.0000 μB per atom. Number 9: energy of formation 2.2 kJ per mole of atoms, M_tot 0.0000 μB per atom. Number 10: energy of formation 25.2 kJ per mole of atoms, M_tot 0.0000 μB per atom. Number 11: energy of formation 16.5 kJ per mole of atoms, M_tot 0.2169 μB per atom. Number 12: energy of formation 24.9 kJ per mole of atoms, M_tot 0.1841 μB per atom. Number 13: energy of formation 12.1 kJ per mole of atoms, M_tot 0.0000 μB per atom. Number 14: energy of formation 34.6 kJ per mole of atoms, M_tot 0.0004 μB per atom. Number 15: energy of formation 11.9 kJ per mole of atoms, M_tot 0.0000 μB per atom. Number 16: energy of formation 12.6 kJ per mole of atoms, M_tot 0.0006 μB per atom. Number 17: energy of formation 1.6 kJ per mole of atoms, M_tot 0.0000 μB per atom. Number 18: energy of formation 3.6 kJ per mole of atoms, M_tot 0.0003 μB per atom. Number 19: energy of formation 3.5 kJ per mole of atoms, M_tot 0.0000 μB per atom. Number 20: energy of formation 3.1 kJ per mole of atoms, M_tot 0.0001 μB per atom.